Entry 1:
# Sr2IrBr | the Alexandria database | PBE | relaxed
data_Sr2IrBr
_chemical_formula_sum 'Sr2 Ir1 Br1'
_symmetry_space_group_name_H-M 'P 4/m m m'
_symmetry_Int_Tables_number 123
_symmetry_space_group_name_Hall '-P 4 2'
_cell_length_a 4.4349
_cell_length_b 4.4349
_cell_length_c 6.0717
_cell_angle_alpha 90.00
_cell_angle_beta 90.00
_cell_angle_gamma 90.00
loop_
_atom_site_label
_atom_site_type_symbol
_atom_site_fract_x
_atom_site_fract_y
_atom_site_fract_z
Sr1 Sr 0.0000 0.0000 0.0000
Sr2 Sr 0.5000 0.5000 0.5000
Ir1 Ir 0.0000 0.0000 0.5000
Br1 Br 0.5000 0.5000 0.0000
# ΔE_f (raw)	-0.703	eV/atom
# energy above the most stable polymorph in this dataset	2.43	kcal/mol of atoms
# volume	29.85	A^3/atom
# DOS at the Fermi energy	0.472	states/eV/f.u.
# mass density	6221	kg/m³

Entry 2:
# AcY5Ho4 | the Alexandria database | PBE | relaxed
data_AcY5Ho4
_chemical_formula_sum 'Ac2 Y10 Ho8'
_symmetry_space_group_name_H-M 'C 1 2/m 1'
_symmetry_Int_Tables_number 12
_symmetry_space_group_name_Hall '-C 2y'
_cell_length_a 17.3939
_cell_length_b 3.6002
_cell_length_c 10.9934
_cell_angle_alpha 90.00
_cell_angle_beta 90.45
_cell_angle_gamma 90.00
loop_
_atom_site_label
_atom_site_type_symbol
_atom_site_fract_x
_atom_site_fract_y
_atom_site_fract_z
Ac1 Ac 0.0000 0.0000 0.0000
Y1 Y 0.0000 0.0000 0.5000
Y2 Y 0.1739 0.5000 0.5528
Y3 Y 0.1766 0.5000 0.9389
Ho1 Ho 0.0251 0.5000 0.7427
Ho2 Ho 0.1499 0.0000 0.2503
# volume	34.42	A^3/atom
# DOS at the Fermi energy	14.470	states/eV/f.u.
# formation energy	0.215	eV/atom
# mass density	6422	kg/m³

Entry 3:
# Rb6NaHgF | the Alexandria database | PBE | relaxed
data_Rb6NaHgF
_chemical_formula_sum 'Rb12 Na2 Hg2 F2'
_symmetry_space_group_name_H-M 'C 1 2 1'
_symmetry_Int_Tables_number 5
_symmetry_space_group_name_Hall 'C 2y'
_cell_length_a 8.8988
_cell_length_b 15.4429
_cell_length_c 7.9831
_cell_angle_alpha 90.00
_cell_angle_beta 90.06
_cell_angle_gamma 90.00
loop_
_atom_site_label
_atom_site_type_symbol
_atom_site_fract_x
_atom_site_fract_y
_atom_site_fract_z
Rb1 Rb 0.1314 0.0000 0.2798
Rb2 Rb 0.1452 0.2767 0.2796
Rb3 Rb 0.2223 0.6454 0.2799
Na1 Na 0.0000 0.4739 0.0000
Hg1 Hg 0.0000 0.8077 0.5000
F1 F 0.0000 0.1407 0.5000
# ΔE_f (raw)	-0.538	eV/atom
# volume	60.95	A^3/atom
# DOS at the Fermi energy	6.595	states/eV/f.u.
# mass density	2287	kg/m³

Entry 4:
# TiZnSb2I | the Alexandria database | PBE | relaxed
data_TiZnSb2I
_chemical_formula_sum 'Ti1 Zn1 Sb2 I1'
_symmetry_space_group_name_H-M 'P 4/m m m'
_symmetry_Int_Tables_number 123
_symmetry_space_group_name_Hall '-P 4 2'
_cell_length_a 5.3062
_cell_length_b 5.3062
_cell_length_c 5.5772
_cell_angle_alpha 90.00
_cell_angle_beta 90.00
_cell_angle_gamma 90.00
loop_
_atom_site_label
_atom_site_type_symbol
_atom_site_fract_x
_atom_site_fract_y
_atom_site_fract_z
Ti1 Ti 0.0000 0.0000 0.0000
Zn1 Zn 0.5000 0.5000 0.5000
Sb1 Sb 0.0000 0.5000 0.0000
I1 I 0.0000 0.0000 0.5000
# ΔE_f (raw)	0.216	eV/atom
# energy above the most stable polymorph in this dataset	0.00	kcal/mol of atoms
# volume	31.41	A^3/atom
# DOS at the Fermi energy	4.437	states/eV/f.u.
# mass density	5115	kg/m³